DFT (PBE-GGA) results for a relaxed structure of Pr3Sm5Ho.

a b c (Å): 7.071 7.071 14.767
angles (deg): 72.12 72.12 71.80
Atoms (fractional coordinates):
Sm1 0.694 0.694 0.120
Sm2 0.790 0.368 0.342
Sm3 0.368 0.790 0.342
Sm4 0.210 0.632 0.658
Sm5 0.632 0.210 0.658
Sm6 0.675 0.325 0.000
Sm7 0.363 0.363 0.256
Sm8 0.325 0.675 0.000
Sm9 0.637 0.637 0.744
Sm10 0.306 0.306 0.880
Pr1 0.295 0.295 0.501
Pr2 0.813 0.813 0.877
Pr3 0.000 0.000 0.000
Pr4 0.705 0.705 0.499
Pr5 0.187 0.187 0.123
Pr6 0.000 0.000 0.500
Ho1 0.118 0.118 0.745
Ho2 0.882 0.882 0.255

Values from the calculation:
Energy of formation from the pure elements: 2.8 eV/f.u.
Total energy: -4.4100 eV per atom
SG: C2/m, No. 12
Crystal system: monoclinic